# BeTl2SnCl6

A geometry-optimized BeTl2SnCl6 structure (PBE-GGA, Alexandria).

Properties
E_tot = -3.4835 eV per atom
formation energy without anion corrections = -1129 meV/atom

Unit cell a=7.3730 b=7.3730 c=22.6878 alpha=90.00 beta=90.00 gamma=120.00
Space group R3 (No. 146, hexagonal axes)
Symmetry-distinct sites (fractional):
Be 0.0000 0.0000 0.0000 [3 per cell]
Tl 0.0000 0.0000 0.2563 [3 per cell]
Tl 0.0000 0.0000 0.7656 [3 per cell]
Sn 0.0000 0.0000 0.5600 [3 per cell]
Cl 0.0575 0.7030 0.1662 [9 per cell]
Cl 0.0894 0.3902 0.6656 [9 per cell]

=====

# Be2ZnSnCl

A geometry-optimized Be2ZnSnCl structure (PBE-GGA, Alexandria).

Properties
E_tot = -2.2937 eV per atom
formation energy without anion corrections = 621 meV/atom

Unit cell a=4.3103 b=4.3103 c=5.6251 alpha=90.00 beta=90.00 gamma=90.00
Space group P4/mmm (No. 123)
Symmetry-distinct sites (fractional):
Be 0.0000 0.5000 0.0000 [2 per cell]
Zn 0.0000 0.0000 0.0000 [1 per cell]
Sn 0.5000 0.5000 0.5000 [1 per cell]
Cl 0.0000 0.0000 0.5000 [1 per cell]

=====

# SrBeCl4

A geometry-optimized SrBeCl4 structure (PBE-GGA, Alexandria).

Properties
E_tot = -4.0468 eV per atom
energy above the most stable polymorph in this dataset = 22 meV per atom
formation energy without anion corrections = -1914 meV/atom

Unit cell a=10.1370 b=7.7151 c=8.8135 alpha=90.00 beta=95.63 gamma=90.00
Space group C2/c (No. 15)
Symmetry-distinct sites (fractional):
Sr 0.2500 0.2500 0.0000 [4 per cell]
Be 0.0000 0.1460 0.2500 [4 per cell]
Cl 0.0203 0.2912 0.4398 [8 per cell]
Cl 0.1704 0.0006 0.7430 [8 per cell]

=====

Q: Which value of formation energy without anion corrections does entry 1 give?
A: -1129 meV/atom

=====

Q: Among the records above, which one has the lowest formation energy without anion corrections?
A: SrBeCl4